Here is a relaxed structure of BaTaRe3 from the Alexandria database. Energies are from PBE-GGA.

```
BaTaRe3
1.0
4.9613 0.0000 0.0000
0.0000 4.9613 0.0000
0.0000 0.0000 4.9613
Ba Re Ta
1 3 1
Direct
0.5000 0.5000 0.5000
0.0000 0.5000 0.0000
0.5000 0.0000 0.0000
0.0000 0.0000 0.5000
0.0000 0.0000 0.0000
```

Summary:
Space-group type: Pm-3m
Magnetic moment (μB/atom): 0.53
Energy relative to the lowest polymorph listed for this composition (eV per atom): 0.0000